Entry 1:
Compound: Ba2ScZn
Source: Alexandria via LeMat-Bulk
Functional: PBE
Structure: optimized geometry

Unit cell a=4.949 b=4.217 c=7.761 alpha=74.30 beta=90.00 gamma=90.00
Element x y z (fractional)
Ba1 0.000 0.975 0.926
Ba2 0.500 0.278 0.318
Sc1 0.000 0.669 0.537
Zn1 0.500 0.579 0.720

Computed properties:
E   -2.71 eV per atom

Entry 2:
Compound: BaSc3Zn
Source: Alexandria via LeMat-Bulk
Functional: PBE
Structure: optimized geometry

Unit cell a=5.312 b=5.312 c=5.312 alpha=90.00 beta=90.00 gamma=90.00
Element x y z (fractional)
Sc1 0.000 0.500 0.000
Sc2 0.000 0.000 0.500
Sc3 0.500 0.000 0.000
Zn1 0.500 0.500 0.500
Ba1 0.000 0.000 0.000

Computed properties:
Energy above the most stable polymorph in this dataset   1095 meV/atom

Entry 3:
Compound: Ba2ScZn
Source: Alexandria via LeMat-Bulk
Functional: PBE
Structure: optimized geometry

Unit cell a=4.123 b=4.123 c=8.623 alpha=90.00 beta=90.00 gamma=90.00
Element x y z (fractional)
Ba1 0.000 0.000 0.980
Ba2 0.000 0.000 0.520
Sc1 0.500 0.500 0.250
Zn1 0.500 0.500 0.750

Computed properties:
E   -2.70 eV per atom

Entry 4:
Compound: Ba2ScZn
Source: Alexandria via LeMat-Bulk
Functional: PBE
Structure: optimized geometry

Unit cell a=11.313 b=11.313 c=11.313 alpha=20.31 beta=20.31 gamma=20.31
Element x y z (fractional)
Ba1 0.006 0.006 0.006
Ba2 0.494 0.494 0.494
Sc1 0.250 0.250 0.250
Zn1 0.750 0.750 0.750

Computed properties:
E   -2.57 eV per atom

Entry 5:
Compound: BaSc3Zn
Source: Alexandria via LeMat-Bulk
Functional: PBE
Structure: optimized geometry

Unit cell a=5.305 b=5.305 c=5.305 alpha=90.00 beta=90.00 gamma=90.00
Element x y z (fractional)
Sc1 0.000 0.500 0.000
Sc2 0.000 0.000 0.500
Sc3 0.500 0.000 0.000
Zn1 0.000 0.000 0.000
Ba1 0.500 0.500 0.500

Computed properties:
Energy above the most stable polymorph in this dataset   0 meV/atom

Entry 6:
Compound: BaZrSc2
Source: Alexandria via LeMat-Bulk
Functional: PBE
Structure: optimized geometry

Unit cell a=3.568 b=5.632 c=5.623 alpha=90.00 beta=90.00 gamma=90.00
Element x y z (fractional)
Ba1 0.000 0.500 0.500
Sc1 0.000 0.000 0.000
Sc2 0.500 0.500 0.000
Zr1 0.500 0.000 0.500

Computed properties:
Energy above the most stable polymorph in this dataset   314 meV/atom